An optimized crystal structure of LiMg2NiC, computed with PBE.

Computed properties:
**DFT total energy**: -3.93 eV per atom
**Space group**: P4/mmm
**ΔE_f**: 0.090 eV/atom
**DOS(E_F)**: 0.674 states/eV per atom
**Offset from the most stable computed form**: 0.00 eV/f.u.
**Total magnetic moment**: 0.00 μB/f.u.

Cell: 4.463 4.463 3.697 Å, 90.00 90.00 90.00°
Fractional coordinates of all 5 atoms:
Li 0.500 0.500 0.500
Mg 0.000 0.500 0.000
Mg 0.500 0.000 0.000
C 0.000 0.000 0.000
Ni 0.000 0.000 0.500